Entry 1:
A plane-wave DFT calculation with PBE-GGA was carried out for crystalline CsNa2BiF8 at its relaxed geometry.

Computed properties:
Magnetization, μB per formula unit: 1.223
Crystal system: triclinic
Calculated total energy, eV/atom: -4.1457
Fermi-level density of states, states/eV/cell: 4.4
Volume, Å³ per cell: 226.2
Formation energy from raw total energies, meV/atom: -2284

Unit cell a=5.194 b=5.267 c=8.270 alpha=89.64 beta=89.47 gamma=89.93
Space group P-1 (No. 2)
Unique sites:
Cs 0.000 0.000 0.000 x1
Na 0.498 0.498 0.249 x2
Bi 0.000 0.000 0.500 x1
F 0.228 0.834 0.685 x2
F 0.233 0.839 0.315 x2
F 0.252 0.318 0.500 x2
F 0.279 0.480 0.001 x2

Entry 2:
A plane-wave DFT calculation with PBE-GGA was carried out for crystalline Cs2NbBiF6 at its relaxed geometry.

Computed properties:
Magnetization, μB per formula unit: 2.000
Crystal system: tetragonal
Calculated total energy, eV/atom: -5.0267
Fermi-level density of states, states/eV/cell: 67.6
Volume, Å³ per cell: 480.4
Formation energy from raw total energies, meV/atom: -2338

Unit cell a=6.357 b=6.357 c=11.888 alpha=90.00 beta=90.00 gamma=90.00
Space group I4/mmm (No. 139)
Unique sites:
Cs 0.000 0.500 0.250 x4
Nb 0.000 0.000 0.000 x2
Bi 0.000 0.000 0.500 x2
F 0.000 0.000 0.174 x4
F 0.236 0.236 0.000 x8